This record from Alexandria via LeMat-Bulk describes crystalline Tl2InSi2Au7 at its relaxed geometry. The functional is PBE-GGA.

Structure (CIF):
```
data_Tl2InSi2Au7
_chemical_formula_sum 'Tl4 In2 Si4 Au14'
_cell_length_a 6.265
_cell_length_b 6.264
_cell_length_c 13.791
_cell_angle_alpha 90.00
_cell_angle_beta 90.35
_cell_angle_gamma 90.00
_symmetry_space_group_name_H-M 'C 1 2/m 1'
_symmetry_Int_Tables_number 12
loop_
_symmetry_equiv_pos_as_xyz
'x,y,z'
'-x,-y,-z'
'-x,y,-z'
'x,-y,z'
'x+1/2,y+1/2,z'
'-x+1/2,-y+1/2,-z'
'-x+1/2,y+1/2,-z'
'x+1/2,-y+1/2,z'
loop_
_atom_site_label
_atom_site_type_symbol
_atom_site_fract_x
_atom_site_fract_y
_atom_site_fract_z
Tl1 Tl 0.003 0.000 0.364
In1 In 0.000 0.000 0.000
Si1 Si 0.003 0.500 0.229
Au1 Au 0.000 0.500 0.000
Au2 Au 0.003 0.500 0.403
Au3 Au 0.248 0.250 0.853
```

## Properties
Fermi-level density of states = 3.84 states/eV per cell
uncorrected energy = -3.4969 eV/atom
formation energy without anion corrections = -0.059 eV/atom